Entry 1:
Computed, not measured: a relaxed LiYb2InGe2 crystal at the GGA-PBE level of DFT.

ΔH_f (0 K) = -607 meV per atom
Space-group type = Pnma

a = 4.4145 Å, b = 7.1767 Å, c = 16.7369 Å
α = 90.00°, β = 90.00°, γ = 90.00°
Last column: magnetic moment on the atom in μB.
Element x y z (fractional)
Li 0.7500 0.0083 0.5673  0.00
Li 0.2500 0.4917 0.0673  0.00
Li 0.7500 0.5083 0.9327  0.00
Li 0.2500 0.9917 0.4327  0.00
Yb 0.7500 0.0174 0.2798  0.22
Yb 0.2500 0.4826 0.7798  0.22
Yb 0.7500 0.5174 0.2202  0.22
Yb 0.2500 0.9826 0.7202  0.22
Yb 0.7500 0.1570 0.0623  0.23
Yb 0.2500 0.3430 0.5623  0.23
Yb 0.7500 0.6570 0.4377  0.23
Yb 0.2500 0.8430 0.9377  0.23
In 0.7500 0.1537 0.8490  0.00
In 0.2500 0.3463 0.3490  0.00
In 0.7500 0.6537 0.6510  0.00
In 0.2500 0.8463 0.1510  0.00
Ge 0.7500 0.2663 0.6852  0.00
Ge 0.2500 0.2337 0.1852  0.00
Ge 0.7500 0.7663 0.8148  0.00
Ge 0.2500 0.7337 0.3148  0.00
Ge 0.7500 0.2271 0.4391  0.00
Ge 0.2500 0.2729 0.9391  0.00
Ge 0.7500 0.7271 0.0609  0.00
Ge 0.2500 0.7729 0.5609  0.00

=====

Entry 2:
Computed, not measured: a relaxed LiGdTiGa crystal at the GGA-PBE level of DFT.

ΔH_f (0 K) = -129 meV per atom
Space-group type = F-43m

a = 4.8324 Å, b = 4.8324 Å, c = 4.8324 Å
α = 60.00°, β = 60.00°, γ = 60.00°
Last column: magnetic moment on the atom in μB.
Element x y z (fractional)
Gd 0.7500 0.7500 0.7500  7.16
Li 0.0000 0.0000 0.0000  0.01
Ga 0.5000 0.5000 0.5000  -0.05
Ti 0.2500 0.2500 0.2500  0.80